Computed, not measured: crystalline LaRe2Pt at its relaxed geometry at the GGA-PBE level of DFT.

Summary:
* calculated density: 14.92 g/cm³
* relative energy among the computed polymorphs: 384 meV per atom
* DOS at the Fermi energy: 4.370 states/eV/cell
* space-group type: Imm2
* energy relative to the elements: 1.41 eV per formula unit

a = 5.634 Å, b = 5.634 Å, c = 5.634 Å
α = 146.41°, β = 126.50°, γ = 64.66°
Element x y z (fractional)
La (0.502, 0.502, 0.000)
Pt (0.218, 0.718, 0.500)
Re (0.987, 0.987, 0.000)
Re (0.793, 0.293, 0.500)

=====

Computed, not measured: crystalline Y3Rh2 at its relaxed geometry at the GGA-PBE level of DFT.

Summary:
* calculated density: 6.08 g/cm³
* relative energy among the computed polymorphs: 93 meV per atom
* DOS at the Fermi energy: 6.047 states/eV/cell
* space-group type: R-3c
* energy relative to the elements: -3.25 eV per formula unit

a = 6.812 Å, b = 6.812 Å, c = 7.535 Å
α = 63.13°, β = 63.13°, γ = 60.00°
Element x y z (fractional)
Y (0.099, 0.750, 0.750)
Y (0.750, 0.401, 0.750)
Y (0.401, 0.099, 0.750)
Y (0.250, 0.599, 0.250)
Y (0.599, 0.901, 0.250)
Y (0.901, 0.250, 0.250)
Rh (0.827, 0.827, 0.518)
Rh (0.327, 0.327, 0.018)
Rh (0.173, 0.173, 0.482)
Rh (0.673, 0.673, 0.982)

=====

Computed, not measured: crystalline CaCo2SbSe at its relaxed geometry at the GGA-PBE level of DFT.

Summary:
* calculated density: 5.16 g/cm³
* DOS at the Fermi energy: 3.229 states/eV/cell
* total DFT energy (no corrections): -4.522 eV per atom
* space-group type: P4/mmm

a = 4.447 Å, b = 5.834 Å, c = 4.447 Å
α = 90.00°, β = 90.00°, γ = 90.00°
Site moments in Bohr magnetons follow the coordinates.
Element x y z (fractional)
Sb (0.000, 0.500, 0.000)  0.08
Ca (0.500, 0.500, 0.500)  -0.01
Co (0.000, 0.000, 0.500)  1.26
Co (0.500, 0.000, 0.000)  1.57
Se (0.000, 0.000, 0.000)  0.03

=====

Computed, not measured: crystalline ErTh2Sb at its relaxed geometry at the GGA-PBE level of DFT.

Summary:
* calculated density: 9.69 g/cm³
* relative energy among the computed polymorphs: 552 meV per atom
* DOS at the Fermi energy: 5.784 states/eV/cell
* space-group type: R-3m

a = 3.474 Å, b = 3.474 Å, c = 12.507 Å
α = 82.02°, β = 82.02°, γ = 60.00°
Element x y z (fractional)
Sb (0.000, 0.000, 0.000)
Th (0.086, 0.086, 0.741)
Th (0.914, 0.914, 0.259)
Er (0.500, 0.500, 0.500)